Entry 1:
MnZn3Pd6 | Alexandria | PBE | optimized geometry; energy = -4.846 eV/atom; crystal system = monoclinic; formation enthalpy at 0 K = -432 meV/atom; offset from the most stable computed form = 0 meV per atom; total magnetic moment = 9.2 Bohr magnetons per cell
1.0
4.101 0.000 0.000
0.000 7.954 -1.710
0.000 0.748 8.908
Pd Zn Mn
12 6 2
Direct
0.750 0.161 0.705 Pd
0.250 0.150 0.211 Pd
0.250 0.839 0.295 Pd
0.750 0.368 0.310 Pd
0.250 0.632 0.690 Pd
0.750 0.850 0.789 Pd
0.250 0.258 0.512 Pd
0.750 0.540 0.899 Pd
0.250 0.460 0.101 Pd
0.750 0.937 0.096 Pd
0.250 0.063 0.904 Pd
0.750 0.742 0.488 Pd
0.750 0.245 0.019 Zn
0.250 0.755 0.981 Zn
0.250 0.350 0.808 Zn
0.250 0.550 0.397 Zn
0.750 0.450 0.603 Zn
0.750 0.650 0.192 Zn
0.250 0.944 0.608 Mn
0.750 0.056 0.392 Mn

***

Entry 2:
Ce2PrTm3P6 | Alexandria | PBE | optimized geometry; energy = -6.761 eV/atom; crystal system = monoclinic; formation enthalpy at 0 K = -1551 meV/atom; total magnetic moment = 0.9 Bohr magnetons per cell
1.0
-5.324 3.521 2.869
-1.005 -3.705 -5.851
0.565 -5.210 4.598
P Tm Pr Ce
6 3 1 2
Direct
0.086 0.426 0.259 P
0.747 0.747 0.260 P
0.914 0.574 0.741 P
0.574 0.914 0.741 P
0.253 0.253 0.740 P
0.426 0.086 0.259 P
0.500 0.500 0.500 Tm
0.165 0.835 0.500 Tm
0.835 0.165 0.500 Tm
0.000 0.000 0.000 Pr
0.667 0.333 0.000 Ce
0.333 0.667 0.000 Ce

***

Entry 3:
TaAs3Cl | Alexandria | PBE | optimized geometry; energy = -4.242 eV/atom; crystal system = cubic; offset from the most stable computed form = 1096 meV per atom; total magnetic moment = 1.1 Bohr magnetons per cell; ΔE_f (raw) = 1287 meV per atom
1.0
4.703 0.000 0.000
0.000 4.703 0.000
0.000 0.000 4.703
Ta Cl As
1 1 3
Direct
0.500 0.500 0.500 Ta
0.000 0.000 0.000 Cl
0.500 0.000 0.000 As
0.000 0.000 0.500 As
0.000 0.500 0.000 As

***

Entry 4:
YScHgRu | Alexandria | PBE | optimized geometry; energy = -5.959 eV/atom; crystal system = cubic; formation enthalpy at 0 K = -366 meV/atom; offset from the most stable computed form = 145 meV per atom; total magnetic moment = 0.0 Bohr magnetons per cell
1.0
4.904 0.000 0.000
2.452 4.247 0.000
2.452 1.416 4.004
Ru Y Hg Sc
1 1 1 1
Direct
0.750 0.750 0.750 Ru
0.000 0.000 0.000 Y
0.250 0.250 0.250 Hg
0.500 0.500 0.500 Sc

***

Entry 5:
CoAgCl | Alexandria | PBE | optimized geometry; energy = -3.330 eV/atom; crystal system = cubic; offset from the most stable computed form = 505 meV per atom; total magnetic moment = 1.8 Bohr magnetons per cell; ΔE_f (raw) = 605 meV per atom
1.0
4.311 0.000 0.000
2.156 3.734 0.000
2.156 1.245 3.520
Ag Cl Co
1 1 1
Direct
0.000 0.000 0.000 Ag
0.500 0.500 0.500 Cl
0.750 0.750 0.750 Co

***

Entry 6:
Pm2SiOs | Alexandria | PBE | optimized geometry; energy = -6.798 eV/atom; crystal system = monoclinic; total magnetic moment = 0.0 Bohr magnetons per cell; ΔE_f (raw) = -259 meV per atom
1.0
-2.859 3.377 -1.385
-4.286 -0.280 8.163
5.539 1.654 0.359
Pm Os Si
4 2 2
Direct
0.180 0.090 0.360 Pm
0.180 0.590 0.360 Pm
0.820 0.410 0.640 Pm
0.820 0.910 0.640 Pm
0.006 0.750 0.000 Os
0.994 0.250 0.000 Os
0.506 0.750 0.000 Si
0.494 0.250 0.000 Si

***

Entry 7:
Ir2PbN | Alexandria | PBE | optimized geometry; energy = -6.874 eV/atom; crystal system = tetragonal; offset from the most stable computed form = 0 meV per atom; total magnetic moment = 0.0 Bohr magnetons per cell; ΔE_f (raw) = 565 meV per atom
1.0
5.118 0.000 0.000
0.000 5.118 0.000
2.559 2.559 5.694
N Ir Pb
2 4 2
Direct
0.250 0.750 0.500 N
0.500 0.500 0.000 N
0.270 0.625 0.250 Ir
0.375 0.520 0.750 Ir
0.480 0.125 0.250 Ir
0.875 0.730 0.750 Ir
0.000 0.000 0.000 Pb
0.750 0.250 0.500 Pb

***

Entry 8:
CsSi3Au | Alexandria | PBE | optimized geometry; energy = -1.663 eV/atom; crystal system = cubic; offset from the most stable computed form = 1562 meV per atom; total magnetic moment = 0.0 Bohr magnetons per cell; ΔE_f (raw) = 2417 meV per atom
1.0
-4.808 -0.647 -2.664
-0.177 -5.294 1.605
-2.736 1.479 4.578
Si Au Cs
3 1 1
Direct
0.000 0.000 0.500 Si
0.000 0.500 0.000 Si
0.500 0.000 0.000 Si
0.500 0.500 0.500 Au
0.000 0.000 0.000 Cs

***

Entry 9:
ZnAs2SeBr | Alexandria | PBE | optimized geometry; energy = -2.526 eV/atom; crystal system = tetragonal; offset from the most stable computed form = 0 meV per atom; total magnetic moment = 0.0 Bohr magnetons per cell; ΔE_f (raw) = 620 meV per atom
1.0
-3.333 3.712 0.419
-3.278 -3.175 2.058
1.724 1.055 4.373
As Zn Se Br
2 1 1 1
Direct
0.000 0.500 0.000 As
0.500 0.000 0.000 As
0.000 0.000 0.000 Zn
0.500 0.500 0.500 Se
0.000 0.000 0.500 Br

***

Entry 10:
MnFe2Ge | Alexandria | PBE | optimized geometry; energy = -7.315 eV/atom; crystal system = orthorhombic; formation enthalpy at 0 K = 363 meV/atom; total magnetic moment = 7.9 Bohr magnetons per cell
1.0
-1.115 0.079 -9.904
-0.387 -2.442 -4.991
-2.715 -1.177 -4.719
Ge Fe Mn
1 2 1
Direct
0.500 0.000 0.000 Ge
0.737 0.000 0.000 Fe
0.263 0.000 0.000 Fe
0.000 0.000 0.000 Mn

***

Entry 11:
TaPb2S6 | Alexandria | PBE | optimized geometry; energy = -5.206 eV/atom; crystal system = orthorhombic; total magnetic moment = 0.0 Bohr magnetons per cell; ΔE_f (raw) = -313 meV per atom
1.0
3.740 0.000 0.000
0.000 7.324 0.000
0.000 -3.662 7.231
Pb Ta S
2 1 6
Direct
0.000 0.624 0.355 Pb
0.000 0.269 0.645 Pb
0.500 0.040 0.000 Ta
0.500 0.983 0.650 S
0.000 0.985 0.205 S
0.500 0.333 0.350 S
0.000 0.781 0.795 S
0.000 0.278 0.000 S
0.500 0.707 0.000 S

***

Entry 12:
AcNdPbI | Alexandria | PBE | optimized geometry; energy = -4.225 eV/atom; crystal system = cubic; total magnetic moment = 0.0 Bohr magnetons per cell; ΔE_f (raw) = -692 meV per atom
1.0
5.739 0.000 0.000
2.869 4.970 0.000
2.869 1.657 4.686
Pb Ac I Nd
1 1 1 1
Direct
0.000 0.000 0.000 Pb
0.250 0.250 0.250 Ac
0.500 0.500 0.500 I
0.750 0.750 0.750 Nd

***

Entry 13:
Pr2SmI2N2 | Alexandria | PBE | optimized geometry; energy = -5.980 eV/atom; crystal system = tetragonal; total magnetic moment = 1.0 Bohr magnetons per cell; ΔE_f (raw) = -1119 meV per atom
1.0
4.608 0.000 0.000
0.000 4.608 0.000
-2.304 -2.304 9.690
N Sm I Pr
2 1 2 2
Direct
0.000 0.500 0.000 N
0.500 0.000 0.000 N
0.000 0.000 0.000 Sm
0.166 0.166 0.332 I
0.834 0.834 0.668 I
0.422 0.422 0.845 Pr
0.578 0.578 0.155 Pr

***

Entry 14:
CoAs3P | Alexandria | PBE | optimized geometry; energy = -4.213 eV/atom; crystal system = cubic; formation enthalpy at 0 K = 1080 meV/atom; offset from the most stable computed form = 465 meV per atom; total magnetic moment = 1.4 Bohr magnetons per cell
1.0
-4.063 -1.336 -1.899
-0.865 -2.680 3.737
-2.154 3.596 2.080
Co As P
1 3 1
Direct
0.500 0.500 0.500 Co
0.000 0.500 0.000 As
0.000 0.000 0.500 As
0.500 0.000 0.000 As
0.000 0.000 0.000 P

***

Entry 15:
LiMnZn2S4 | Alexandria | PBE | optimized geometry; energy = -4.531 eV/atom; crystal system = tetragonal; total magnetic moment = 4.0 Bohr magnetons per cell; ΔE_f (raw) = -763 meV per atom
1.0
5.402 0.224 -0.001
-0.225 5.402 -0.001
-2.589 -2.814 5.528
S Zn Li Mn
4 2 1 1
Direct
0.113 0.113 0.748 S
0.887 0.366 0.253 S
0.366 0.887 0.253 S
0.634 0.634 0.748 S
0.750 0.250 0.500 Zn
0.250 0.750 0.500 Zn
0.500 0.500 0.000 Li
0.000 0.000 0.000 Mn

***

Entry 16:
LaSnB2Pd | Alexandria | PBE | optimized geometry; energy = -3.570 eV/atom; crystal system = tetragonal; formation enthalpy at 0 K = 1925 meV/atom; total magnetic moment = 0.0 Bohr magnetons per cell
1.0
4.620 0.000 0.000
0.000 6.032 0.000
0.000 0.000 4.620
La B Pd Sn
1 2 1 1
Direct
0.000 0.000 0.000 La
0.500 0.000 0.000 B
0.000 0.000 0.500 B
0.500 0.500 0.500 Pd
0.000 0.500 0.000 Sn

***

Entry 17:
TcH3Au | Alexandria | PBE | optimized geometry; energy = -4.283 eV/atom; crystal system = cubic; offset from the most stable computed form = 0 meV per atom; total magnetic moment = 1.0 Bohr magnetons per cell
1.0
-0.739 0.791 -3.354
2.658 -2.053 -1.069
-2.193 -2.754 -0.166
H Au Tc
3 1 1
Direct
0.500 0.000 0.000 H
0.000 0.000 0.500 H
0.000 0.500 0.000 H
0.500 0.500 0.500 Au
0.000 0.000 0.000 Tc

***

Entry 18:
BaBeTeN2 | Alexandria | PBE | optimized geometry; energy = -3.163 eV/atom; crystal system = tetragonal; offset from the most stable computed form = 1050 meV per atom; total magnetic moment = 0.0 Bohr magnetons per cell; ΔE_f (raw) = 1925 meV per atom
1.0
-3.002 1.260 -2.860
2.771 -0.762 -3.243
-2.467 -6.953 -0.474
Be Te N Ba
1 1 2 1
Direct
0.500 0.500 0.500 Be
0.000 0.000 0.500 Te
0.000 0.500 0.000 N
0.500 0.000 0.000 N
0.000 0.000 0.000 Ba

***

Entry 19:
Pm6InTe3P2 | Alexandria | PBE | optimized geometry; energy = -5.619 eV/atom; crystal system = monoclinic; total magnetic moment = 0.0 Bohr magnetons per cell; ΔE_f (raw) = -1329 meV per atom
1.0
-2.962 -3.078 0.130
5.652 -5.609 -3.997
3.125 0.352 9.289
P Pm In Te
2 6 1 3
Direct
0.169 0.337 0.339 P
0.831 0.663 0.661 P
0.325 0.437 0.650 Pm
0.675 0.563 0.350 Pm
0.989 0.745 0.979 Pm
0.332 0.889 0.664 Pm
0.011 0.255 0.021 Pm
0.668 0.111 0.336 Pm
0.500 0.000 0.000 In
0.836 0.169 0.672 Te
0.500 0.500 0.000 Te
0.164 0.831 0.328 Te

***

Entry 20:
PrIn6Pb | Alexandria | PBE | optimized geometry; energy = -3.279 eV/atom; crystal system = tetragonal; formation enthalpy at 0 K = -164 meV/atom; total magnetic moment = 0.0 Bohr magnetons per cell
1.0
-1.821 -3.106 -2.805
4.565 1.769 -4.922
4.437 -4.769 2.401
Pr In Pb
1 6 1
Direct
0.500 0.000 0.000 Pr
0.500 0.000 0.500 In
0.000 0.748 0.252 In
0.000 0.252 0.252 In
0.500 0.500 0.000 In
0.000 0.748 0.748 In
0.000 0.252 0.748 In
0.500 0.500 0.500 Pb